No. 1
Here is a relaxed LiTl2Au2 crystal from the Alexandria database. Energies are from PBE.

a = 4.4815 Å, b = 4.4815 Å, c = 13.1471 Å
α = 90.00°, β = 90.00°, γ = 90.00°
Closest atoms and distances in Å follow each position.
Atoms (fractional coordinates):
1 Li 0.0000 0.0000 0.0000  8 Au 3.43
2 Li 0.5000 0.5000 0.5000  8 Au 3.43
3 Tl 0.0000 0.5000 0.2500  4 Au 2.98, 4 Tl 3.17
4 Tl 0.0000 0.5000 0.7500  4 Au 2.98, 4 Tl 3.17
5 Tl 0.5000 0.0000 0.2500  4 Au 2.98, 4 Tl 3.17
6 Tl 0.5000 0.0000 0.7500  4 Au 2.98, 4 Tl 3.17
7 Au 0.0000 0.0000 0.3994  1 Au 2.65
8 Au 0.0000 0.0000 0.6006  1 Au 2.65
9 Au 0.5000 0.5000 0.1006  1 Au 2.65
10 Au 0.5000 0.5000 0.8994  1 Au 2.65

Summary:
M_tot ... 0.00 μB/f.u.
Energy of formation from the pure elements ... -0.008 eV per atom
Density of states at the Fermi level ... 4.69 states/eV/cell
V ... 26.4 Å³/atom


No. 2
Here is a relaxed LaTc3P crystal from the Alexandria database. Energies are from PBE.

a = 4.5422 Å, b = 4.5422 Å, c = 4.5422 Å
α = 90.00°, β = 90.00°, γ = 90.00°
Closest atoms and distances in Å follow each position.
Atoms (fractional coordinates):
1 La 0.0000 0.0000 0.0000  12 Tc 3.21
2 Tc 0.0000 0.5000 0.5000  2 P 2.27
3 Tc 0.5000 0.0000 0.5000  2 P 2.27
4 Tc 0.5000 0.5000 0.0000  2 P 2.27
5 P 0.5000 0.5000 0.5000  6 Tc 2.27

Summary:
M_tot ... 1.77 μB/f.u.
Energy of formation from the pure elements ... 0.047 eV per atom
Density of states at the Fermi level ... 5.65 states/eV/cell
V ... 18.7 Å³/atom